1.
Below is a relaxed EuH3 crystal, with properties calculated at the GGA-PBE level.

Cell: 3.401 3.401 3.401 Å, 90.00 90.00 90.00°
Space group Pm-3m (No. 221)
One atom of each set of equivalent atoms:
Eu (0.000, 0.000, 0.000) [1 per cell]
H (0.000, 0.500, 0.500) [3 per cell]

Output
Its total energy is -20.69 eV/cell.

2.
Below is a relaxed ErPuZrSc crystal, with properties calculated at the GGA-PBE level.

Cell: 7.436 7.436 7.436 Å, 90.00 90.00 90.00°
Space group F-43m (No. 216)
One atom of each set of equivalent atoms:
Er (0.000, 0.000, 0.000) [4 per cell]
Pu (0.000, 0.000, 0.500) [4 per cell]
Zr (0.250, 0.250, 0.750) [4 per cell]
Sc (0.250, 0.250, 0.250) [4 per cell]

Output
The value obtained for the energy of formation is 0.20 eV/atom.

3.
Below is a relaxed AlSbCl2 crystal, with properties calculated at the GGA-PBE level.

Cell: 3.4625 3.4625 29.7185 Å, 90.00 90.00 120.00°
Space group R-3m (No. 166, hexagonal axes)
One atom of each set of equivalent atoms:
Al (0.0000, 0.0000, 0.0000) [3 per cell]
Sb (0.0000, 0.0000, 0.5000) [3 per cell]
Cl (0.0000, 0.0000, 0.2826) [6 per cell]

Output
The value obtained for the energy relative to the elements, uncorrected is -294 meV/atom.

4.
Below is a relaxed K2Ba2Na crystal, with properties calculated at the GGA-PBE level.

Cell: 5.697 5.697 21.480 Å, 90.00 90.00 90.00°
Space group I4/mmm (No. 139)
One atom of each set of equivalent atoms:
K (0.000, 0.000, 0.090) [4 per cell]
Ba (0.000, 0.500, 0.250) [4 per cell]
Na (0.000, 0.000, 0.500) [2 per cell]

Output
The value obtained for the energy of formation is 0.25 eV/atom.

Q: Which density of states at the Fermi level values were calculated for the entries above? A: 0.72 2.68 0.69 1.37, in states/eV per atom.
Q: Which ρ values were calculated for the entries above? A: 6542 8842 3546 1791, in kg/m³.
Q: Which M_tot values were calculated for the entries above? A: 1.55 1.65 0.01 0.00, in μB/atom.